No. 1
SmTlAgPd: optimized geometry, PBE.

The space group is F-43m (No. 216) and the conventional cell measures 7.0450, 7.0450 and 7.0450 Å, with angles of 90.00, 90.00 and 90.00 degrees. Symmetry generates all atoms from Sm at (0.0000, 0.0000, 0.0000), Tl at (0.0000, 0.0000, 0.5000), Ag at (0.2500, 0.2500, 0.7500) and Pd at (0.2500, 0.2500, 0.2500).

The calculated formation energy comes out at -153 kJ/mol of formula units. For the theoretical density, the calculation gives 10.809 g cm⁻³. As for the crystal system: cubic.



No. 2
Sm4TlAg2Pd: optimized geometry, PBE.

The space group is R-3m (No. 166, hexagonal axes) and the conventional cell measures 5.2642, 5.2642 and 25.6329 Å, with angles of 90.00, 90.00 and 120.00 degrees. Symmetry generates all atoms from Sm at (0.0000, 0.0000, 0.1176), Sm at (0.0000, 0.0000, 0.3694), Tl at (0.0000, 0.0000, 0.5000), Ag at (0.0000, 0.0000, 0.2435) and Pd at (0.0000, 0.0000, 0.0000).

The calculated formation energy comes out at -336 kJ/mol of formula units. For the theoretical density, the calculation gives 9.134 g cm⁻³. As for the crystal system: trigonal.



No. 3
SmTm2AgPd4: optimized geometry, PBE.

The space group is R-3m (No. 166, hexagonal axes) and the conventional cell measures 4.8614, 4.8614 and 23.6911 Å, with angles of 90.00, 90.00 and 120.00 degrees. Symmetry generates all atoms from Sm at (0.0000, 0.0000, 0.0000), Tm at (0.0000, 0.0000, 0.2392), Ag at (0.0000, 0.0000, 0.5000), Pd at (0.0000, 0.0000, 0.1202) and Pd at (0.0000, 0.0000, 0.3775).

The calculated formation energy comes out at -588 kJ/mol of formula units. For the theoretical density, the calculation gives 10.498 g cm⁻³. As for the crystal system: trigonal.



No. 4
SmYAgPd: optimized geometry, PBE.

The space group is F-43m (No. 216) and the conventional cell measures 7.2271, 7.2271 and 7.2271 Å, with angles of 90.00, 90.00 and 90.00 degrees. Symmetry generates all atoms from Sm at (0.0000, 0.0000, 0.0000), Y at (0.0000, 0.0000, 0.5000), Ag at (0.2500, 0.2500, 0.7500) and Pd at (0.2500, 0.2500, 0.2500).

The calculated formation energy comes out at -214 kJ/mol of formula units. For the theoretical density, the calculation gives 7.981 g cm⁻³. As for the crystal system: cubic. Its energy above the most stable polymorph in this dataset is 0.03 eV per formula unit.



Look up the theoretical density of the second one.
9.134 g cm⁻³